The following is a DFT calculation (GGA-PBE) of crystalline LiTe4Ru at its relaxed geometry.

Cell: 6.3186 6.3186 6.3186 Å, 60.00 60.00 60.00°
Last column: nearest neighbours and their distance in Å.
Fractional positions:
Li (0.0000, 0.0000, 0.0000)  12 Te 3.71, 4 Ru 3.87
Te (0.3754, 0.3754, 0.3754)  6 Te 3.15-3.17
Te (0.3754, 0.3754, 0.8736)  6 Te 3.15-3.17
Te (0.3754, 0.8736, 0.3754)  6 Te 3.15-3.17
Te (0.8736, 0.3754, 0.3754)  6 Te 3.15-3.17
Ru (0.7500, 0.7500, 0.7500)  12 Te 3.70, 4 Li 3.87

Calculated values
uncorrected formation energy = 0.820 eV per atom
symmetry = F-43m, No. 216
electronic total energy = -3.140 eV/atom
theoretical density = 5.76 g/cm3